The following is a DFT calculation (PBE) of crystalline TlTe3As2 at its relaxed geometry.

## Properties
DOS(E_F), states/eV/atom: 0.232
VASP energy, eV/atom: -3.43
Raw formation energy, eV per atom: 0.08
Energy above the lowest structure with this stoichiometry, meV/atom: 112
Calculated density, Mg/m³: 5.41
Magnetic moment, μB per atom: 0.0000

Cell lengths 11.348, 11.425, 6.984 Å; angles 90.00, 90.00, 90.00 degrees
Space group Cmcm (No. 63)
Inequivalent atoms, fractional coordinates:
Tl  0.000  0.096  0.250 (multiplicity 4)
Te  0.000  0.412  0.750 (multiplicity 4)
Te  0.189  0.132  0.750 (multiplicity 8)
As  0.180  0.500  0.000 (multiplicity 8)